Entry 1:
Tb2YSn2Pb5: relaxed, PBE.

Unit cell a=4.502 b=26.908 c=4.615 alpha=90.00 beta=90.00 gamma=90.00
Space group Cmmm (No. 65)
Inequivalent atoms, fractional coordinates:
Tb  0.000  0.190  0.000 x4
Y  0.000  0.500  0.500 x2
Sn  0.000  0.404  0.000 x4
Pb  0.000  0.000  0.000 x2
Pb  0.000  0.098  0.500 x4
Pb  0.000  0.291  0.500 x4

Results
The size of the total moment is 0.00 μB/cell.

=====

Entry 2:
PmTlB: relaxed, PBE.

Unit cell a=6.377 b=6.377 c=6.377 alpha=90.00 beta=90.00 gamma=90.00
Space group F-43m (No. 216)
Inequivalent atoms, fractional coordinates:
Pm  0.000  0.000  0.000 x4
Tl  0.000  0.000  0.500 x4
B  0.250  0.250  0.250 x4

Results
The size of the total moment is 0.01 μB/cell.

=====

Entry 3:
PrNd2Zn2Si4Pd2: relaxed, PBE.

Unit cell a=4.139 b=4.235 c=25.148 alpha=90.00 beta=90.00 gamma=90.00
Space group Immm (No. 71)
Inequivalent atoms, fractional coordinates:
Pr  0.000  0.000  0.000 x2
Nd  0.000  0.500  0.146 x4
Zn  0.000  0.000  0.250 x4
Si  0.000  0.000  0.452 x4
Si  0.000  0.500  0.309 x4
Pd  0.000  0.500  0.405 x4

Results
The size of the total moment is 0.01 μB/cell.

=====

Entry 4:
Pm2C2Cl: relaxed, PBE.

Unit cell a=14.757 b=4.100 c=6.644 alpha=90.00 beta=102.60 gamma=90.00
Space group C2/c (No. 15)
Inequivalent atoms, fractional coordinates:
Pm  0.152  0.190  0.151 x8
C  0.221  0.364  0.526 x8
Cl  0.000  0.260  0.750 x4

Results
The size of the total moment is 0.01 μB/cell.

=====

Entry 5:
ScCuSiPt: relaxed, PBE.

Unit cell a=6.204 b=6.204 c=6.204 alpha=90.00 beta=90.00 gamma=90.00
Space group F-43m (No. 216)
Inequivalent atoms, fractional coordinates:
Sc  0.000  0.000  0.000 x4
Cu  0.250  0.250  0.250 x4
Si  0.250  0.250  0.750 x4
Pt  0.000  0.000  0.500 x4

Results
The size of the total moment is 0.00 μB/cell.

=====

Entry 6:
PmZrAl: relaxed, PBE.

Unit cell a=7.033 b=7.033 c=7.033 alpha=90.00 beta=90.00 gamma=90.00
Space group F-43m (No. 216)
Inequivalent atoms, fractional coordinates:
Pm  0.000  0.000  0.000 x4
Zr  0.250  0.250  0.250 x4
Al  0.250  0.250  0.750 x4

Results
The size of the total moment is 6.98 μB/cell.

=====

Entry 7:
ErPbAuO3: relaxed, PBE.

Unit cell a=3.240 b=16.169 c=7.727 alpha=90.00 beta=90.00 gamma=90.00
Space group Cmcm (No. 63)
Inequivalent atoms, fractional coordinates:
Er  0.000  0.000  0.000 x4
Pb  0.000  0.315  0.250 x4
Au  0.000  0.411  0.750 x4
O  0.000  0.127  0.577 x8
O  0.000  0.277  0.750 x4

Results
The size of the total moment is 0.01 μB/cell.

=====

Entry 8:
BaZn: relaxed, PBE.

Unit cell a=6.045 b=7.847 c=11.799 alpha=90.00 beta=90.00 gamma=90.00
Space group Pmmn (No. 59, origin choice 2)
Inequivalent atoms, fractional coordinates:
Ba  0.250  0.001  0.100 x4
Ba  0.250  0.750  0.391 x2
Ba  0.250  0.750  0.741 x2
Zn  0.250  0.082  0.562 x4
Zn  0.250  0.250  0.366 x2
Zn  0.250  0.250  0.838 x2

=====

Record-wise final energy values, in eV per atom: -4.620 -4.367 -5.193 -6.828 -5.991 -4.835 -5.413 -1.605